[1]
Below is a PBEsol-optimized structure of Mo3P4O16, with properties calculated at the SCAN level.

Its total energy is -12.8952 eV/atom. As for the formation energy without anion corrections: -50.6 eV/f.u.

It has space group P2_1/c (No. 14), with a = 8.6295 Å, b = 5.0482 Å, c = 15.7877 Å, α = 90.00°, β = 120.38° and γ = 90.00°. The inequivalent atoms are Mo at (0.0000, 0.0000, 0.0000), Mo at (0.2943, 0.0250, 0.2850), P at (0.0251, 0.5064, 0.1434), P at (0.4408, 0.0058, 0.1241), O at (0.0381, 0.6539, 0.9503), O at (0.0816, 0.6991, 0.6374), O at (0.1263, 0.0157, 0.3324), O at (0.1919, 0.1261, 0.7268), O at (0.2542, 0.0740, 0.0371), O at (0.4240, 0.7168, 0.3655), O at (0.4285, 0.5008, 0.7186) and O at (0.4936, 0.2324, 0.3900).

=====

[2]
Below is a PBEsol-optimized structure of Ir4Pb, with properties calculated at the SCAN level.

Its total energy is -71.5712 eV/atom. The calculation puts the energy of formation at 464 meV/atom.

It has space group I4/m (No. 87), with a = 6.2699 Å, b = 6.2699 Å, c = 3.9688 Å, α = 90.00°, β = 90.00° and γ = 90.00°. The inequivalent atoms are Ir at (0.0990, 0.6862, 0.0000) and Pb at (0.0000, 0.0000, 0.5000).

=====

[3]
Below is a PBEsol-optimized structure of Ni6PtW, with properties calculated at the SCAN level.

Its total energy is -29.6337 eV/atom. The calculation puts the energy of formation at -19 meV/atom.

It has space group Cmmm (No. 65), with a = 7.1803 Å, b = 10.1434 Å, c = 10.1663 Å, α = 90.00°, β = 90.00° and γ = 90.00°. The inequivalent atoms are Ni at (0.0000, 0.0000, 0.0000), Ni at (0.0000, 0.0000, 0.5000), Ni at (0.0000, 0.2475, 0.2439), Ni at (0.0000, 0.5000, 0.0000), Ni at (0.0000, 0.5000, 0.5000), Ni at (0.2441, 0.1242, 0.3717), Ni at (0.2475, 0.1256, 0.1219), Pt at (0.0000, 0.2510, 0.5000), Pt at (0.0000, 0.5000, 0.2532), W at (0.0000, 0.0000, 0.2551) and W at (0.0000, 0.2471, 0.0000).

=====

[4]
Below is a PBEsol-optimized structure of AgPt2, with properties calculated at the SCAN level.

Its total energy is -56.7124 eV/atom. The calculation puts the energy of formation at 539 meV/atom. The calculation puts the energy above the most stable polymorph in this dataset at 540 meV per atom.

It has space group I4/mcm (No. 140), with a = 6.2614 Å, b = 6.2614 Å, c = 4.9954 Å, α = 90.00°, β = 90.00° and γ = 90.00°. The inequivalent atoms are Ag at (0.0000, 0.0000, 0.2500) and Pt at (0.1435, 0.3565, 0.0000).

=====

[5]
Below is a PBEsol-optimized structure of FeP3W, with properties calculated at the SCAN level.

Its total energy is -22.8632 eV/atom. The calculation puts the energy of formation at 940 meV/atom.

It has space group Pm-3m (No. 221), with a = 4.6325 Å, b = 4.6325 Å, c = 4.6325 Å, α = 90.00°, β = 90.00° and γ = 90.00°. The inequivalent atoms are Fe at (0.0000, 0.0000, 0.0000), P at (0.0000, 0.5000, 0.5000) and W at (0.5000, 0.5000, 0.5000).

=====

[6]
Below is a PBEsol-optimized structure of BTeC3, with properties calculated at the SCAN level.

Its total energy is -11.0594 eV/atom. As for the formation energy without anion corrections: 19.7 eV/f.u.

It has space group Pm-3m (No. 221), with a = 4.1496 Å, b = 4.1496 Å, c = 4.1496 Å, α = 90.00°, β = 90.00° and γ = 90.00°. The inequivalent atoms are B at (0.0000, 0.0000, 0.0000), Te at (0.5000, 0.5000, 0.5000) and C at (0.0000, 0.5000, 0.5000).

=====

[7]
Below is a PBEsol-optimized structure of Mg3CdN, with properties calculated at the SCAN level.

Its total energy is -11.3910 eV/atom. As for the formation energy without anion corrections: -2.3 eV/f.u.

It has space group Pm-3m (No. 221), with a = 4.3274 Å, b = 4.3274 Å, c = 4.3274 Å, α = 90.00°, β = 90.00° and γ = 90.00°. The inequivalent atoms are Mg at (0.0000, 0.0000, 0.5000), Cd at (0.5000, 0.5000, 0.5000) and N at (0.0000, 0.0000, 0.0000).

=====

[8]
Below is a PBEsol-optimized structure of TcRh2, with properties calculated at the SCAN level.

Its total energy is -34.2935 eV/atom. The calculation puts the energy of formation at -92 meV/atom. The calculation puts the energy above the most stable polymorph in this dataset at 90 meV per atom.

It has space group P-3m1 (No. 164), with a = 2.6766 Å, b = 2.6766 Å, c = 6.5637 Å, α = 90.00°, β = 90.00° and γ = 120.00°. The inequivalent atoms are Tc at (0.0000, 0.0000, 0.0000) and Rh at (0.3333, 0.6667, 0.6732).

=====

[9]
Below is a PBEsol-optimized structure of CaMg2P, with properties calculated at the SCAN level.

Its total energy is -7.6955 eV/atom. The calculation puts the energy of formation at -193 meV/atom.

It has space group I-4m2 (No. 119), with a = 4.3581 Å, b = 4.3581 Å, c = 8.9983 Å, α = 90.00°, β = 90.00° and γ = 90.00°. The inequivalent atoms are Ca at (0.0000, 0.0000, 0.0000), Mg at (0.0000, 0.0000, 0.5000), Mg at (0.0000, 0.5000, 0.2500) and P at (0.0000, 0.5000, 0.7500).

=====

[10]
Below is a PBEsol-optimized structure of LiCu4Sb, with properties calculated at the SCAN level.

Its total energy is -16.8825 eV/atom. As for the formation energy without anion corrections: -0.8 eV/f.u.

It has space group F-43m (No. 216), with a = 6.8994 Å, b = 6.8994 Å, c = 6.8994 Å, α = 90.00°, β = 90.00° and γ = 90.00°. The inequivalent atoms are Li at (0.0000, 0.0000, 0.0000), Cu at (0.1258, 0.1258, 0.6258) and Sb at (0.2500, 0.2500, 0.2500).

=====

[11]
Below is a PBEsol-optimized structure of YReAu2, with properties calculated at the SCAN level.

Its total energy is -59.3574 eV/atom. The calculation puts the energy of formation at -44 meV/atom. The calculation puts the energy above the most stable polymorph in this dataset at 0 meV per atom.

It has space group Cmmm (No. 65), with a = 5.8813 Å, b = 8.0980 Å, c = 2.9801 Å, α = 90.00°, β = 90.00° and γ = 90.00°. The inequivalent atoms are Y at (0.0000, 0.0000, 0.0000), Re at (0.0000, 0.5000, 0.0000) and Au at (0.2500, 0.2500, 0.5000).

=====

[12]
Below is a PBEsol-optimized structure of Te2RuO, with properties calculated at the SCAN level.

Its total energy is -28.8361 eV/atom. As for the formation energy without anion corrections: 0.2 eV/f.u.

It has space group I-42d (No. 122), with a = 5.4504 Å, b = 5.4504 Å, c = 11.7070 Å, α = 90.00°, β = 90.00° and γ = 90.00°. The inequivalent atoms are Te at (0.2264, 0.2500, 0.1250), Ru at (0.0000, 0.0000, 0.5000) and O at (0.0000, 0.0000, 0.0000).

=====

[13]
Below is a PBEsol-optimized structure of HgIrRu2, with properties calculated at the SCAN level.

Its total energy is -51.6380 eV/atom. The calculation puts the energy of formation at 591 meV/atom.

It has space group Cmmm (No. 65), with a = 2.7394 Å, b = 4.7417 Å, c = 9.4751 Å, α = 90.00°, β = 90.00° and γ = 90.00°. The inequivalent atoms are Hg at (0.0000, 0.0000, 0.0000), Ir at (0.0000, 0.0000, 0.5000) and Ru at (0.0000, 0.5000, 0.2644).

=====

[14]
Below is a PBEsol-optimized structure of MnCo2Os, with properties calculated at the SCAN level.

Its total energy is -31.0384 eV/atom. The calculation puts the energy of formation at 147 meV/atom. The calculation puts the energy above the most stable polymorph in this dataset at 14 meV per atom.

It has space group Pmm2 (No. 25), with a = 2.5249 Å, b = 3.5364 Å, c = 5.0181 Å, α = 90.00°, β = 90.00° and γ = 90.00°. The inequivalent atoms are Mn at (0.0000, 0.0000, 0.0000), Co at (0.0000, 0.0000, 0.5284), Co at (0.5000, 0.5000, 0.7650) and Os at (0.5000, 0.5000, 0.2688).

=====

[15]
Below is a PBEsol-optimized structure of SbAsAu, with properties calculated at the SCAN level.

Its total energy is -41.9489 eV/atom. As for the formation energy without anion corrections: 0.8 eV/f.u. The calculation puts the energy above the most stable polymorph in this dataset at 324 meV per atom.

It has space group Fmm2 (No. 42), with a = 3.9988 Å, b = 5.3116 Å, c = 11.9941 Å, α = 90.00°, β = 90.00° and γ = 90.00°. The inequivalent atoms are Sb at (0.0000, 0.0000, 0.0000), As at (0.0000, 0.0000, 0.3013) and Au at (0.0000, 0.0000, 0.6632).

=====

[16]
Below is a PBEsol-optimized structure of FeSi, with properties calculated at the SCAN level.

Its total energy is -14.1553 eV/atom. As for the formation energy without anion corrections: -0.2 eV/f.u.

It has space group R-3m (No. 166, hexagonal axes), with a = 2.6112 Å, b = 2.6112 Å, c = 10.9399 Å, α = 90.00°, β = 90.00° and γ = 120.00°. The inequivalent atoms are Fe at (0.0000, 0.0000, 0.0000) and Si at (0.0000, 0.0000, 0.5000).

=====

[17]
Below is a PBEsol-optimized structure of BaV2CuO7, with properties calculated at the SCAN level.

Its total energy is -14.6106 eV/atom. As for the formation energy without anion corrections: -27.4 eV/f.u.

It has space group Pnma (No. 62), with a = 14.9712 Å, b = 5.4752 Å, c = 7.4647 Å, α = 90.00°, β = 90.00° and γ = 90.00°. The inequivalent atoms are Ba at (0.2010, 0.2500, 0.1178), V at (0.0907, 0.7500, 0.8858), V at (0.1061, 0.7500, 0.3572), Cu at (0.1336, 0.2500, 0.6145), O at (0.0026, 0.7500, 0.4215), O at (0.0182, 0.2500, 0.1413), O at (0.1259, 0.7500, 0.1185), O at (0.1431, 0.0016, 0.7969) and O at (0.1631, 0.0015, 0.4383).

=====

[18]
Below is a PBEsol-optimized structure of Li2MgRu, with properties calculated at the SCAN level.

Its total energy is -11.0215 eV/atom. The calculation puts the energy of formation at 123 meV/atom.

It has space group Cm (No. 8), with a = 9.0976 Å, b = 2.5845 Å, c = 5.1590 Å, α = 90.00°, β = 95.85° and γ = 90.00°. The inequivalent atoms are Li at (0.0000, 0.0000, 0.0000), Li at (0.2463, 0.0000, 0.7549), Mg at (0.4914, 0.0000, 0.4645) and Ru at (0.2453, 0.5000, 0.2474).

=====

[19]
Below is a PBEsol-optimized structure of La2O3, with properties calculated at the SCAN level.

Its total energy is -24.7257 eV/atom. As for the formation energy without anion corrections: -18.7 eV/f.u.

It has space group Ia-3 (No. 206), with a = 11.2710 Å, b = 11.2710 Å, c = 11.2710 Å, α = 90.00°, β = 90.00° and γ = 90.00°. The inequivalent atoms are La at (0.0000, 0.2500, 0.4712), La at (0.2500, 0.2500, 0.2500) and O at (0.1111, 0.1475, 0.6215).

=====

[20]
Below is a PBEsol-optimized structure of Be2CuSi, with properties calculated at the SCAN level.

Its total energy is -8.3501 eV/atom. As for the formation energy without anion corrections: 0.5 eV/f.u.

It has space group I-4m2 (No. 119), with a = 3.4484 Å, b = 3.4484 Å, c = 7.0001 Å, α = 90.00°, β = 90.00° and γ = 90.00°. The inequivalent atoms are Be at (0.0000, 0.0000, 0.0000), Be at (0.0000, 0.5000, 0.2500), Cu at (0.0000, 0.0000, 0.5000) and Si at (0.0000, 0.5000, 0.7500).